DFT (GGA-PBE) results for crystalline RbPuCdS3 at its relaxed geometry. Values from VASP.

The structure in Quantum ESPRESSO input format:
```
&SYSTEM
  ibrav = 0, nat = 12, ntyp = 4
/
ATOMIC_SPECIES
Rb 85.47 Rb.upf
Pu 244.00 Pu.upf
Cd 112.41 Cd.upf
S 32.06 S.upf
ATOMIC_POSITIONS crystal
Rb 0.250 0.212 0.229
Rb 0.750 0.788 0.771
Pu 0.250 0.669 0.139
Pu 0.750 0.331 0.861
Cd 0.250 0.089 0.612
Cd 0.750 0.911 0.388
S 0.750 0.878 0.132
S 0.250 0.122 0.868
S 0.250 0.785 0.458
S 0.750 0.215 0.542
S 0.750 0.469 0.142
S 0.250 0.531 0.858
CELL_PARAMETERS angstrom
4.198 0.000 0.000
0.000 8.908 -0.323
0.000 -2.692 9.684
```

## Properties
ΔE_f (raw) ... -1206 meV per atom
Size of the total moment ... 5.0 μB/f.u.


DFT (GGA-PBE) results for crystalline Hg2C2Cl at its relaxed geometry. Values from VASP.

The structure in Quantum ESPRESSO input format:
```
&SYSTEM
  ibrav = 0, nat = 10, ntyp = 3
/
ATOMIC_SPECIES
C 12.01 C.upf
Hg 200.59 Hg.upf
Cl 35.45 Cl.upf
ATOMIC_POSITIONS crystal
C 0.940 0.440 0.000
C 0.440 0.060 0.000
C 0.060 0.560 0.000
C 0.560 0.940 0.000
Hg 0.155 0.655 0.500
Hg 0.655 0.845 0.500
Hg 0.845 0.345 0.500
Hg 0.345 0.155 0.500
Cl 0.000 0.000 0.000
Cl 0.500 0.500 0.000
CELL_PARAMETERS angstrom
7.633 0.000 0.000
0.000 7.633 0.000
0.000 0.000 3.835
```

## Properties
ΔE_f (raw) ... 799 meV per atom
ΔE to the lowest computed polymorph ... 0 meV/atom
Size of the total moment ... 0.0 μB/f.u.


DFT (GGA-PBE) results for crystalline InCoRu2 at its relaxed geometry. Values from VASP.

The structure in Quantum ESPRESSO input format:
```
&SYSTEM
  ibrav = 0, nat = 4, ntyp = 3
/
ATOMIC_SPECIES
Co 58.93 Co.upf
In 114.82 In.upf
Ru 101.07 Ru.upf
ATOMIC_POSITIONS crystal
Co 0.500 0.500 0.000
In 0.500 0.000 0.500
Ru 0.000 0.000 0.000
Ru 0.000 0.500 0.500
CELL_PARAMETERS angstrom
-2.186 3.110 -0.691
-3.192 -2.027 0.979
0.426 1.125 3.716
```

## Properties
Formation enthalpy at 0 K ... 358 meV/atom
Size of the total moment ... 1.6 μB/f.u.


DFT (GGA-PBE) results for crystalline BeRhSCl2 at its relaxed geometry. Values from VASP.

The structure in Quantum ESPRESSO input format:
```
&SYSTEM
  ibrav = 0, nat = 5, ntyp = 4
/
ATOMIC_SPECIES
Be 9.01 Be.upf
S 32.06 S.upf
Rh 102.91 Rh.upf
Cl 35.45 Cl.upf
ATOMIC_POSITIONS crystal
Be 0.000 0.000 0.000
S 0.000 0.000 0.500
Rh 0.500 0.500 0.500
Cl 0.000 0.500 0.000
Cl 0.500 0.000 0.000
CELL_PARAMETERS angstrom
-3.944 -0.477 0.605
0.527 -3.972 0.304
0.851 0.572 6.001
```

## Properties
ΔE_f (raw) ... 209 meV per atom
ΔE to the lowest computed polymorph ... 0 meV/atom
Size of the total moment ... 2.0 μB/f.u.


DFT (GGA-PBE) results for crystalline Cd2GaB2O6 at its relaxed geometry. Values from VASP.

The structure in Quantum ESPRESSO input format:
```
&SYSTEM
  ibrav = 0, nat = 11, ntyp = 4
/
ATOMIC_SPECIES
Cd 112.41 Cd.upf
Ga 69.72 Ga.upf
B 10.81 B.upf
O 16.00 O.upf
ATOMIC_POSITIONS crystal
Cd 0.333 0.667 0.669
Cd 0.667 0.333 0.331
Ga 0.000 0.000 0.000
B 0.333 0.667 0.171
B 0.667 0.333 0.829
O 0.363 0.279 0.823
O 0.916 0.637 0.823
O 0.721 0.084 0.823
O 0.637 0.721 0.177
O 0.084 0.363 0.177
O 0.279 0.916 0.177
CELL_PARAMETERS angstrom
4.939 0.000 0.000
-2.469 4.277 0.000
0.000 0.000 6.699
```

## Properties
ΔE_f (raw) ... -1705 meV per atom
Size of the total moment ... 0.0 μB/f.u.


DFT (GGA-PBE) results for crystalline BaReAg2 at its relaxed geometry. Values from VASP.

The structure in Quantum ESPRESSO input format:
```
&SYSTEM
  ibrav = 0, nat = 4, ntyp = 3
/
ATOMIC_SPECIES
Re 186.21 Re.upf
Ba 137.33 Ba.upf
Ag 107.87 Ag.upf
ATOMIC_POSITIONS crystal
Re 0.500 0.500 0.750
Ba 0.500 0.500 0.250
Ag 0.000 0.000 0.935
Ag 0.000 0.000 0.565
CELL_PARAMETERS angstrom
-2.737 0.996 -0.706
-0.904 -3.680 -1.686
-2.509 -2.333 6.438
```

## Properties
ΔE to the lowest computed polymorph ... 0 meV/atom
Formation enthalpy at 0 K ... 798 meV/atom
Size of the total moment ... 1.1 μB/f.u.


DFT (GGA-PBE) results for crystalline Ac8Co2Pd at its relaxed geometry. Values from VASP.

The structure in Quantum ESPRESSO input format:
```
&SYSTEM
  ibrav = 0, nat = 11, ntyp = 3
/
ATOMIC_SPECIES
Ac 227.00 Ac.upf
Co 58.93 Co.upf
Pd 106.42 Pd.upf
ATOMIC_POSITIONS crystal
Ac 0.830 0.866 0.404
Ac 0.170 0.596 0.134
Ac 0.648 0.876 0.876
Ac 0.352 0.124 0.124
Ac 0.830 0.404 0.866
Ac 0.170 0.134 0.596
Ac 0.319 0.626 0.626
Ac 0.681 0.374 0.374
Co 0.011 0.776 0.776
Co 0.989 0.224 0.224
Pd 0.000 0.000 0.000
CELL_PARAMETERS angstrom
7.071 0.040 0.068
0.044 7.410 2.713
0.032 0.575 7.870
```

## Properties
Formation enthalpy at 0 K ... -133 meV/atom
Size of the total moment ... 0.0 μB/f.u.


DFT (GGA-PBE) results for crystalline Ac3LaSm6 at its relaxed geometry. Values from VASP.

The structure in Quantum ESPRESSO input format:
```
&SYSTEM
  ibrav = 0, nat = 10, ntyp = 3
/
ATOMIC_SPECIES
Ac 227.00 Ac.upf
La 138.91 La.upf
Sm 150.36 Sm.upf
ATOMIC_POSITIONS crystal
Ac 0.350 0.350 0.951
Ac 0.611 0.611 0.168
Ac 0.089 0.089 0.733
La 0.850 0.850 0.451
Sm 0.923 0.593 0.228
Sm 0.255 0.923 0.228
Sm 0.593 0.255 0.228
Sm 0.107 0.445 0.670
Sm 0.777 0.107 0.670
Sm 0.445 0.777 0.670
CELL_PARAMETERS angstrom
-5.288 4.707 -7.340
-9.876 2.127 1.395
-4.000 6.075 -0.306
```

## Properties
Formation enthalpy at 0 K ... 381 meV/atom
Size of the total moment ... 0.6 μB/f.u.